Entry from OQMD via LeMat-Bulk: PuTcPd after structural relaxation (PBE-GGA).

Lattice parameters (Å, degrees): 4.4231 4.4231 4.4231 60.00 60.00 60.00
Positions (direct):
Tc  0.7500  0.7500  0.7500
Pd  0.2500  0.2500  0.2500
Pu  0.0000  0.0000  0.0000

* SG: F-43m (216)
* excess energy over the best structure of this formula in the dataset: 97 kJ/mol of formula units
* calculated formation energy: 0.81 eV/atom

Entry from OQMD via LeMat-Bulk: TmMgTe3Au after structural relaxation (PBE-GGA).

Lattice parameters (Å, degrees): 4.1807 7.8270 11.0795 90.00 90.00 74.51
Positions (direct):
Te  0.3524  0.2951  0.9427
Te  0.9026  0.1948  0.2500
Te  0.6476  0.7049  0.0573
Te  0.0974  0.8052  0.7500
Te  0.3524  0.2951  0.5573
Te  0.6476  0.7049  0.4427
Tm  0.0000  0.0000  0.0000
Tm  0.0000  0.0000  0.5000
Mg  0.1496  0.7007  0.2500
Mg  0.8504  0.2993  0.7500
Au  0.5213  0.9574  0.2500
Au  0.4787  0.0426  0.7500

* SG: Cmcm (63)
* excess energy over the best structure of this formula in the dataset: 4 kJ/mol of formula units

Entry from OQMD via LeMat-Bulk: KNaPrOsO5 after structural relaxation (PBE-GGA).

Lattice parameters (Å, degrees): 5.7669 5.7669 8.0447 90.00 90.00 90.00
Positions (direct):
O  0.7644  0.2644  0.6801
O  0.7356  0.2356  0.3199
O  0.2356  0.2644  0.6801
O  0.2644  0.7644  0.3199
O  0.7644  0.7356  0.6801
O  0.0000  0.5000  0.9612
O  0.5000  0.0000  0.0388
O  0.2644  0.2356  0.3199
O  0.7356  0.7644  0.3199
O  0.2356  0.7356  0.6801
Os  0.0000  0.5000  0.7301
Os  0.5000  0.0000  0.2699
Pr  0.5000  0.5000  0.5000
Pr  0.0000  0.0000  0.5000
Na  0.5000  0.0000  0.7683
Na  0.0000  0.5000  0.2317
K  0.0000  0.0000  0.0000
K  0.5000  0.5000  0.0000

* SG: P4/nmm (129)
* electronic total energy: -6.625 eV/atom

Entry from OQMD via LeMat-Bulk: Fe2SnPb after structural relaxation (PBE-GGA).

Lattice parameters (Å, degrees): 6.3837 6.3837 6.3837 90.00 90.00 90.00
Positions (direct):
Sn  0.0000  0.5000  0.5000
Sn  0.5000  0.0000  0.5000
Sn  0.5000  0.5000  0.0000
Sn  0.5000  0.5000  0.5000
Fe  0.2582  0.7418  0.7418
Fe  0.7418  0.7418  0.7418
Fe  0.7418  0.2582  0.2582
Fe  0.2582  0.2582  0.7418
Fe  0.2582  0.2582  0.2582
Fe  0.2582  0.7418  0.2582
Fe  0.7418  0.7418  0.2582
Fe  0.7418  0.2582  0.7418
Pb  0.0000  0.0000  0.0000
Pb  0.0000  0.5000  0.0000
Pb  0.0000  0.0000  0.5000
Pb  0.5000  0.0000  0.0000

* SG: Pm-3m (221)
* electronic total energy: -5.527 eV/atom

Entry from OQMD via LeMat-Bulk: BePt2 after structural relaxation (PBE-GGA).

Lattice parameters (Å, degrees): 4.6859 4.6859 4.6859 105.35 105.35 118.08
Positions (direct):
Pt  0.8337  0.3337  0.1675
Pt  0.3337  0.1663  0.5000
Pt  0.1663  0.6663  0.8325
Pt  0.6663  0.8337  0.5000
Be  0.7500  0.7500  0.0000
Be  0.2500  0.2500  0.0000

* SG: I4/mcm (140)
* electronic total energy: -5.773 eV/atom

Entry from OQMD via LeMat-Bulk: Gd2In3Ga3 after structural relaxation (PBE-GGA).

Lattice parameters (Å, degrees): 6.5625 6.5625 4.8673 90.00 90.00 120.00
Positions (direct):
Ga  0.5167  0.4833  0.5000
Ga  0.9667  0.4833  0.5000
Ga  0.5167  0.0333  0.5000
In  0.8234  0.6468  0.0000
In  0.3532  0.1766  0.0000
In  0.8234  0.1766  0.0000
Gd  0.0000  0.0000  0.5000
Gd  0.3333  0.6667  0.0000

* SG: P-6m2 (187)
* electronic total energy: -3.738 eV/atom

Entry from OQMD via LeMat-Bulk: CsAg3WSe4 after structural relaxation (PBE-GGA).

Lattice parameters (Å, degrees): 6.5981 6.5981 6.5981 90.00 90.00 90.00
Positions (direct):
W  0.5000  0.5000  0.5000
Se  0.2869  0.7131  0.7131
Se  0.7131  0.2869  0.7131
Se  0.2869  0.2869  0.2869
Se  0.7131  0.7131  0.2869
Ag  0.5000  0.0000  0.5000
Ag  0.0000  0.5000  0.5000
Ag  0.5000  0.5000  0.0000
Cs  0.0000  0.0000  0.0000

* SG: P-43m (215)
* electronic total energy: -4.255 eV/atom

Entry from OQMD via LeMat-Bulk: Dy2HoIn3Pt2 after structural relaxation (PBE-GGA).

Lattice parameters (Å, degrees): 3.6106 7.7189 7.7189 119.99 90.00 90.00
Positions (direct):
Pt  0.5000  0.3334  0.6665
Pt  0.5000  0.6665  0.3334
In  0.5000  0.2305  0.0000
In  0.5000  0.0000  0.2305
In  0.5000  0.7695  0.7695
Dy  0.0000  0.5789  0.0000
Dy  0.0000  0.0000  0.5789
Ho  0.0000  0.4212  0.4212

* SG: Amm2 (38)
* electronic total energy: -5.150 eV/atom

Entry from OQMD via LeMat-Bulk: LaSmSi3Au after structural relaxation (PBE-GGA).

Lattice parameters (Å, degrees): 8.4008 8.3143 6.0128 69.69 68.15 42.16
Positions (direct):
Au  0.8352  0.8352  0.1648
Au  0.1648  0.1648  0.8352
La  0.2500  0.2500  0.2500
La  0.7500  0.7500  0.7500
Si  0.1729  0.6649  0.8271
Si  0.3351  0.8271  0.6649
Si  0.3371  0.3371  0.6629
Si  0.6649  0.1729  0.3351
Si  0.8271  0.3351  0.1729
Si  0.6629  0.6629  0.3371
Sm  0.2583  0.7417  0.2583
Sm  0.7417  0.2583  0.7417

* SG: Fmmm (69)
* excess energy over the best structure of this formula in the dataset: 5 kJ/mol of formula units

Entry from OQMD via LeMat-Bulk: RbSmHgSe3 after structural relaxation (PBE-GGA).

Lattice parameters (Å, degrees): 8.8498 4.3322 10.7463 90.00 108.76 90.00
Positions (direct):
Rb  0.7510  0.2500  0.7760
Rb  0.2490  0.7500  0.2240
Se  0.5827  0.2500  0.3612
Se  0.0354  0.2500  0.3544
Se  0.7404  0.7500  0.0576
Se  0.9646  0.7500  0.6456
Se  0.4173  0.7500  0.6388
Se  0.2596  0.2500  0.9424
Sm  0.8168  0.7500  0.3672
Sm  0.1832  0.2500  0.6328
Hg  0.4117  0.7500  0.8819
Hg  0.5883  0.2500  0.1181

* SG: P2_1/m (11)
* electronic total energy: -3.937 eV/atom

Entry from OQMD via LeMat-Bulk: YTlCuAu after structural relaxation (PBE-GGA).

Lattice parameters (Å, degrees): 4.8854 4.8854 4.8854 60.00 60.00 60.00
Positions (direct):
Au  0.7500  0.7500  0.7500
Cu  0.2500  0.2500  0.2500
Y  0.0000  0.0000  0.0000
Tl  0.5000  0.5000  0.5000

* SG: F-43m (216)
* excess energy over the best structure of this formula in the dataset: 0 kJ/mol of formula units

Entry from OQMD via LeMat-Bulk: Li3CuS2 after structural relaxation (PBE-GGA).

Lattice parameters (Å, degrees): 6.9556 6.9556 6.9556 131.83 72.95 128.78
Positions (direct):
Li  0.4845  0.2500  0.2345
Li  0.7500  0.2500  0.5000
Li  0.2500  0.7500  0.5000
Li  0.9845  0.7500  0.2345
Li  0.0155  0.2500  0.7655
Li  0.5155  0.7500  0.7655
S  0.6341  0.2253  0.8594
S  0.3659  0.7747  0.1406
S  0.8659  0.7253  0.5912
S  0.1341  0.2747  0.4088
Cu  0.0000  0.0000  0.0000
Cu  0.5000  0.5000  0.0000

* SG: Ibam (72)
* electronic total energy: -3.996 eV/atom

Entry from OQMD via LeMat-Bulk: CsGdSeS after structural relaxation (PBE-GGA).

Lattice parameters (Å, degrees): 4.2157 4.2157 16.4308 90.00 90.00 120.00
Positions (direct):
Se  0.6667  0.3333  0.0973
Se  0.3333  0.6667  0.9027
S  0.6667  0.3333  0.4120
S  0.3333  0.6667  0.5880
Cs  0.3333  0.6667  0.2573
Cs  0.6667  0.3333  0.7427
Gd  0.0000  0.0000  0.5000
Gd  0.0000  0.0000  0.0000

* SG: P-3m1 (164)
* electronic total energy: -5.059 eV/atom

Entry from OQMD via LeMat-Bulk: GdGeSO after structural relaxation (PBE-GGA).

Lattice parameters (Å, degrees): 6.4880 13.2493 7.5780 90.00 90.00 90.00
Positions (direct):
S  0.5018  0.4252  0.6704
S  0.0018  0.4252  0.8296
S  0.9982  0.5748  0.1704
S  0.4982  0.9252  0.8296
S  0.5018  0.0748  0.1704
S  0.0018  0.0748  0.3296
S  0.9982  0.9252  0.6704
S  0.4982  0.5748  0.3296
Ge  0.7832  0.4880  0.4934
Ge  0.7168  0.9880  0.4934
Ge  0.7832  0.0120  0.9934
Ge  0.2168  0.9880  0.0066
Ge  0.2168  0.5120  0.5066
Ge  0.2832  0.0120  0.5066
Ge  0.7168  0.5120  0.9934
Ge  0.2832  0.4880  0.0066
O  0.1625  0.7332  0.8621
O  0.1625  0.7668  0.3621
O  0.8375  0.2668  0.1379
O  0.6625  0.7668  0.1379
O  0.3375  0.2668  0.3621
O  0.6625  0.7332  0.6379
O  0.8375  0.2332  0.6379
O  0.3375  0.2332  0.8621
Gd  0.1709  0.2700  0.6188
Gd  0.3291  0.7700  0.6188
Gd  0.3291  0.7300  0.1188
Gd  0.6709  0.2300  0.3812
Gd  0.1709  0.2300  0.1188
Gd  0.8291  0.7700  0.8812
Gd  0.8291  0.7300  0.3812
Gd  0.6709  0.2700  0.8812

* SG: Pbca (61)
* excess energy over the best structure of this formula in the dataset: 10 kJ/mol of formula units

Entry from OQMD via LeMat-Bulk: Hf2Nb4Bi3N3 after structural relaxation (PBE-GGA).

Lattice parameters (Å, degrees): 5.9958 5.9958 13.8165 102.49 102.49 59.79
Positions (direct):
N  0.1961  0.6523  0.9996
N  0.0000  0.5000  0.5000
N  0.8039  0.3477  0.0004
N  0.6523  0.1961  0.4996
N  0.3477  0.8039  0.5004
N  0.5000  0.0000  0.0000
Hf  0.3440  0.5252  0.5798
Hf  0.4748  0.6560  0.9202
Hf  0.6560  0.4748  0.4202
Hf  0.5252  0.3440  0.0798
Nb  0.0480  0.1702  0.5744
Nb  0.6912  0.8815  0.5744
Nb  0.3088  0.1185  0.4256
Nb  0.1185  0.3088  0.9256
Nb  0.8815  0.6912  0.0744
Nb  0.9520  0.8298  0.4256
Nb  0.8298  0.9520  0.9256
Nb  0.1702  0.0480  0.0744
Bi  0.9247  0.0753  0.2500
Bi  0.5828  0.7579  0.2485
Bi  0.7579  0.5828  0.7485
Bi  0.2421  0.4172  0.2515
Bi  0.0753  0.9247  0.7500
Bi  0.4172  0.2421  0.7515

* SG: C2/c (15)
* electronic total energy: -8.647 eV/atom

Entry from OQMD via LeMat-Bulk: BaTbPb after structural relaxation (PBE-GGA).

Lattice parameters (Å, degrees): 5.5961 5.5961 5.5961 60.00 60.00 60.00
Positions (direct):
Tb  0.7500  0.7500  0.7500
Pb  0.0000  0.0000  0.0000
Ba  0.2500  0.2500  0.2500

* SG: F-43m (216)
* electronic total energy: -3.576 eV/atom

Entry from OQMD via LeMat-Bulk: Lu4CdBiN2 after structural relaxation (PBE-GGA).

Lattice parameters (Å, degrees): 3.4640 3.4640 15.0965 90.00 90.00 120.00
Positions (direct):
Lu  0.6667  0.3333  0.1667
Lu  0.0000  0.0000  0.6648
Lu  0.0000  0.0000  0.3352
Lu  0.6667  0.3333  0.8333
Cd  0.6667  0.3333  0.5000
N  0.3333  0.6667  0.7544
N  0.3333  0.6667  0.2456
Bi  0.0000  0.0000  0.0000

* SG: P-6m2 (187)
* electronic total energy: -6.000 eV/atom

Entry from OQMD via LeMat-Bulk: Cu2Ag after structural relaxation (PBE-GGA).

Lattice parameters (Å, degrees): 4.6787 4.6787 6.6040 90.00 90.00 120.00
Positions (direct):
Cu  0.5614  0.7807  0.0000
Cu  0.2193  0.7807  0.3333
Cu  0.2193  0.4386  0.6667
Cu  0.8934  0.7867  0.6667
Cu  0.2133  0.1066  0.0000
Cu  0.8934  0.1066  0.3333
Ag  0.9038  0.4519  0.0000
Ag  0.5481  0.4519  0.3333
Ag  0.5481  0.0962  0.6667

* SG: P3_112 (151)
* excess energy over the best structure of this formula in the dataset: 14 kJ/mol of formula units
* calculated formation energy: 0.10 eV/atom

Entry from OQMD via LeMat-Bulk: LaNdCd2As2O2 after structural relaxation (PBE-GGA).

Lattice parameters (Å, degrees): 4.2103 4.2103 9.2166 90.00 90.00 90.00
Positions (direct):
O  0.0000  0.5000  0.0016
O  0.5000  0.0000  0.0016
Cd  0.5000  0.0000  0.5002
Cd  0.0000  0.5000  0.5002
La  0.0000  0.0000  0.8758
As  0.5000  0.5000  0.6957
As  0.0000  0.0000  0.3026
Nd  0.5000  0.5000  0.1222

* SG: P4mm (99)
* electronic total energy: -5.602 eV/atom

Entry from OQMD via LeMat-Bulk: HfMgHgPt after structural relaxation (PBE-GGA).

Lattice parameters (Å, degrees): 4.7282 4.7282 4.7282 60.00 60.00 60.00
Positions (direct):
Pt  0.5000  0.5000  0.5000
Mg  0.7500  0.7500  0.7500
Hg  0.0000  0.0000  0.0000
Hf  0.2500  0.2500  0.2500

* SG: F-43m (216)
* excess energy over the best structure of this formula in the dataset: 0 kJ/mol of formula units

Entry from OQMD via LeMat-Bulk: HoErCo2Si4 after structural relaxation (PBE-GGA).

Lattice parameters (Å, degrees): 3.9449 8.3728 8.3728 27.53 90.00 90.00
Positions (direct):
Er  0.0000  0.8923  0.8923
Si  0.5000  0.7501  0.7501
Si  0.0000  0.5424  0.5424
Si  0.5000  0.4576  0.4576
Si  0.0000  0.2499  0.2499
Co  0.5000  0.3220  0.3220
Co  0.0000  0.6781  0.6781
Ho  0.5000  0.1076  0.1076

* SG: Amm2 (38)
* electronic total energy: -6.412 eV/atom

Entry from OQMD via LeMat-Bulk: NpTcIr after structural relaxation (PBE-GGA).

Lattice parameters (Å, degrees): 4.3892 4.3892 4.3892 60.00 60.00 60.00
Positions (direct):
Np  0.0000  0.0000  0.0000
Ir  0.2500  0.2500  0.2500
Tc  0.7500  0.7500  0.7500

* SG: F-43m (216)
* excess energy over the best structure of this formula in the dataset: 0 kJ/mol of formula units
* calculated formation energy: 0.38 eV/atom